No. 1
Crystalline TaAgCl2 at its relaxed geometry, computed with PBE-GGA.

Summary:
- E_tot (eV/atom) = -4.919
- space-group type = No. 8
- raw formation energy (meV/atom) = -320
- total magnetic moment (μB per cell) = 0.0
- crystal system = monoclinic

a = 7.2748 Å, b = 7.2748 Å, c = 7.2259 Å
α = 45.06°, β = 45.06°, γ = 23.84°
Positions (direct):
Cl 0.0065 0.0065 0.9045
Cl 0.8519 0.8519 0.6287
Ag 0.1870 0.1870 0.2511
Ta 0.4546 0.4546 0.7157

---

No. 2
Crystalline TaAg4Cl2 at its relaxed geometry, computed with PBE-GGA.

Summary:
- E_tot (eV/atom) = -2.988
- space-group type = No. 139
- raw formation energy (meV/atom) = 862
- total magnetic moment (μB per cell) = 0.0
- crystal system = tetragonal

a = 5.3544 Å, b = 5.3544 Å, c = 7.8204 Å
α = 69.98°, β = 69.98°, γ = 90.00°
Positions (direct):
Cl 0.6268 0.6268 0.7464
Cl 0.3732 0.3732 0.2536
Ag 0.8048 0.8048 0.3905
Ag 0.1952 0.1952 0.6095
Ag 0.0000 0.5000 0.0000
Ag 0.5000 0.0000 0.0000
Ta 0.0000 0.0000 0.0000

---

No. 3
Crystalline TaAg3Cl at its relaxed geometry, computed with PBE-GGA.

Summary:
- E_tot (eV/atom) = -3.048
- space-group type = No. 221
- raw formation energy (meV/atom) = 1403
- total magnetic moment (μB per cell) = 0.0
- crystal system = cubic

a = 5.2621 Å, b = 5.2621 Å, c = 5.2621 Å
α = 90.00°, β = 90.00°, γ = 90.00°
Positions (direct):
Cl 0.5000 0.5000 0.5000
Ag 0.0000 0.5000 0.0000
Ag 0.0000 0.0000 0.5000
Ag 0.5000 0.0000 0.0000
Ta 0.0000 0.0000 0.0000

---

No. 4
Crystalline TaAgCl2 at its relaxed geometry, computed with PBE-GGA.

Summary:
- E_tot (eV/atom) = -4.067
- space-group type = No. 225
- raw formation energy (meV/atom) = 533
- total magnetic moment (μB per cell) = 0.0
- crystal system = cubic

a = 4.6176 Å, b = 4.6176 Å, c = 4.6176 Å
α = 60.00°, β = 60.00°, γ = 60.00°
Positions (direct):
Cl 0.2500 0.2500 0.2500
Cl 0.7500 0.7500 0.7500
Ag 0.0000 0.0000 0.0000
Ta 0.5000 0.5000 0.5000

---

No. 5
Crystalline TaAgCl2 at its relaxed geometry, computed with PBE-GGA.

Summary:
- E_tot (eV/atom) = -4.680
- space-group type = No. 123
- raw formation energy (meV/atom) = -80
- total magnetic moment (μB per cell) = 0.0
- crystal system = tetragonal

a = 3.0075 Å, b = 3.0075 Å, c = 10.1572 Å
α = 90.00°, β = 90.00°, γ = 90.00°
Positions (direct):
Cl 0.0000 0.0000 0.0982
Cl 0.0000 0.0000 0.4018
Ag 0.5000 0.5000 0.7500
Ta 0.5000 0.5000 0.2500

---

No. 6
Crystalline TaAg3Cl at its relaxed geometry, computed with PBE-GGA.

Summary:
- E_tot (eV/atom) = -3.066
- space-group type = No. 221
- raw formation energy (meV/atom) = 1384
- total magnetic moment (μB per cell) = 3.3
- crystal system = cubic

a = 4.9122 Å, b = 4.9122 Å, c = 4.9122 Å
α = 90.00°, β = 90.00°, γ = 90.00°
Site moments in Bohr magnetons follow the coordinates.
Positions (direct):
Cl 0.0000 0.0000 0.0000  0.06
Ag 0.0000 0.5000 0.0000  0.04
Ag 0.0000 0.0000 0.5000  0.04
Ag 0.5000 0.0000 0.0000  0.06
Ta 0.5000 0.5000 0.5000  1.89

---

No. 7
Crystalline TaAgCl2 at its relaxed geometry, computed with PBE-GGA.

Summary:
- E_tot (eV/atom) = -4.238
- space-group type = No. 47
- raw formation energy (meV/atom) = 361
- total magnetic moment (μB per cell) = 0.7
- crystal system = orthorhombic

a = 3.0133 Å, b = 5.7345 Å, c = 4.3857 Å
α = 90.00°, β = 90.00°, γ = 90.00°
Site moments in Bohr magnetons follow the coordinates.
Positions (direct):
Cl 0.0000 0.0000 0.0000  -0.02
Cl 0.5000 0.5000 0.0000  0.02
Ag 0.0000 0.5000 0.5000  0.02
Ta 0.5000 0.0000 0.5000  0.48

---

No. 8
Crystalline TaAgCl2 at its relaxed geometry, computed with PBE-GGA.

Summary:
- E_tot (eV/atom) = -4.977
- space-group type = No. 71
- raw formation energy (meV/atom) = -377
- total magnetic moment (μB per cell) = 0.0
- crystal system = orthorhombic

a = 7.4007 Å, b = 7.4007 Å, c = 7.4007 Å
α = 156.90°, β = 139.47°, γ = 47.16°
Positions (direct):
Cl 0.8979 0.8979 0.0000
Cl 0.6021 0.6021 0.0000
Ag 0.2500 0.7500 0.5000
Ta 0.7500 0.2500 0.5000

---

No. 9
Crystalline TaAgCl2 at its relaxed geometry, computed with PBE-GGA.

Summary:
- E_tot (eV/atom) = -4.145
- space-group type = No. 139
- raw formation energy (meV/atom) = 455
- total magnetic moment (μB per cell) = 0.0
- crystal system = tetragonal

a = 4.9523 Å, b = 4.9523 Å, c = 4.9523 Å
α = 129.53°, β = 129.53°, γ = 74.15°
Positions (direct):
Cl 0.0000 0.0000 0.0000
Cl 0.5000 0.5000 0.0000
Ag 0.7500 0.2500 0.5000
Ta 0.2500 0.7500 0.5000

---

No. 10
Crystalline TaAgCl2 at its relaxed geometry, computed with PBE-GGA.

Summary:
- E_tot (eV/atom) = -4.411
- space-group type = No. 12
- raw formation energy (meV/atom) = 188
- total magnetic moment (μB per cell) = 0.0
- crystal system = monoclinic

a = 6.8264 Å, b = 6.0080 Å, c = 3.0055 Å
α = 60.56°, β = 115.14°, γ = 132.41°
Positions (direct):
Cl 0.0000 0.0000 0.0000
Cl 0.5000 0.0000 0.5000
Ag 0.5000 0.5000 0.0000
Ta 0.0000 0.5000 0.5000

---

No. 11
Crystalline TaAgCl3 at its relaxed geometry, computed with PBE-GGA.

Summary:
- E_tot (eV/atom) = -3.322
- space-group type = No. 221
- raw formation energy (meV/atom) = 727
- total magnetic moment (μB per cell) = 3.3
- crystal system = cubic

a = 5.0176 Å, b = 5.0176 Å, c = 5.0176 Å
α = 90.00°, β = 90.00°, γ = 90.00°
Site moments in Bohr magnetons follow the coordinates.
Positions (direct):
Cl 0.0000 0.5000 0.0000  -0.03
Cl 0.0000 0.0000 0.5000  -0.01
Cl 0.5000 0.0000 0.0000  -0.03
Ag 0.0000 0.0000 0.0000  -0.03
Ta 0.5000 0.5000 0.5000  2.31

---

No. 12
Crystalline TaAgCl2 at its relaxed geometry, computed with PBE-GGA.

Summary:
- E_tot (eV/atom) = -5.056
- space-group type = No. 166
- raw formation energy (meV/atom) = -457
- total magnetic moment (μB per cell) = 0.0
- crystal system = trigonal

a = 11.3232 Å, b = 11.3232 Å, c = 11.3232 Å
α = 15.63°, β = 15.63°, γ = 15.63°
Positions (direct):
Cl 0.9708 0.9708 0.9708
Cl 0.5292 0.5292 0.5292
Ag 0.7500 0.7500 0.7500
Ta 0.2500 0.2500 0.2500

---

No. 13
Crystalline TaAgCl2 at its relaxed geometry, computed with PBE-GGA.

Summary:
- E_tot (eV/atom) = -4.851
- space-group type = No. 65
- raw formation energy (meV/atom) = -252
- total magnetic moment (μB per cell) = 0.0
- crystal system = orthorhombic

a = 3.2408 Å, b = 3.2408 Å, c = 11.4273 Å
α = 90.00°, β = 90.00°, γ = 125.92°
Positions (direct):
Cl 0.0000 0.0000 0.0750
Cl 0.0000 0.0000 0.4250
Ag 0.5000 0.5000 0.7500
Ta 0.5000 0.5000 0.2500

---

No. 14
Crystalline YTaAg2Cl at its relaxed geometry, computed with PBE-GGA.

Summary:
- E_tot (eV/atom) = -4.283
- space-group type = No. 123
- raw formation energy (meV/atom) = 891
- total magnetic moment (μB per cell) = 0.0
- crystal system = tetragonal

a = 5.0946 Å, b = 5.6902 Å, c = 5.0946 Å
α = 90.00°, β = 90.00°, γ = 90.00°
Positions (direct):
Y 0.0000 0.5000 0.0000
Cl 0.5000 0.5000 0.5000
Ag 0.0000 0.0000 0.5000
Ag 0.5000 0.0000 0.0000
Ta 0.0000 0.0000 0.0000

---

No. 15
Crystalline TbAg6Cl12 at its relaxed geometry, computed with PBE-GGA.

Summary:
- E_tot (eV/atom) = -3.088
- space-group type = No. 148
- raw formation energy (meV/atom) = -778
- total magnetic moment (μB per cell) = 0.0
- crystal system = trigonal

a = 8.7430 Å, b = 8.7430 Å, c = 8.7430 Å
α = 76.68°, β = 76.68°, γ = 76.68°
Positions (direct):
Tb 0.0000 0.0000 0.0000
Ag 0.1109 0.2956 0.5977
Ag 0.7044 0.4023 0.8891
Ag 0.4023 0.8891 0.7044
Ag 0.8891 0.7044 0.4023
Ag 0.2956 0.5977 0.1109
Ag 0.5977 0.1109 0.2956
Cl 0.4071 0.1777 0.5529
Cl 0.1777 0.5529 0.4071
Cl 0.5529 0.4071 0.1777
Cl 0.5929 0.8223 0.4471
Cl 0.8223 0.4471 0.5929
Cl 0.4471 0.5929 0.8223
Cl 0.0592 0.0053 0.6857
Cl 0.3143 0.9408 0.9947
Cl 0.9947 0.3143 0.9408
Cl 0.9408 0.9947 0.3143
Cl 0.6857 0.0592 0.0053
Cl 0.0053 0.6857 0.0592

---

No. 16
Crystalline TbAg5Cl8 at its relaxed geometry, computed with PBE-GGA.

Summary:
- E_tot (eV/atom) = -3.324
- space-group type = No. 82
- raw formation energy (meV/atom) = -920
- total magnetic moment (μB per cell) = 0.0
- crystal system = tetragonal

a = 7.5594 Å, b = 7.5593 Å, c = 7.5595 Å
α = 107.34°, β = 107.33°, γ = 113.83°
Positions (direct):
Tb 0.2500 0.7500 0.5000
Ag 0.9155 0.3202 0.9005
Ag 0.6798 0.5803 0.5952
Ag 0.4197 0.0149 0.0995
Ag 0.5000 0.5000 0.0000
Ag 0.9851 0.0845 0.4048
Cl 0.0653 0.8197 0.1886
Cl 0.1803 0.3689 0.2457
Cl 0.5671 0.8512 0.3163
Cl 0.1488 0.4651 0.7159
Cl 0.7492 0.4329 0.2841
Cl 0.1233 0.9347 0.7543
Cl 0.6311 0.8767 0.8114
Cl 0.5349 0.2508 0.6837

---

No. 17
Crystalline TbAgCl6 at its relaxed geometry, computed with PBE-GGA.

Summary:
- E_tot (eV/atom) = -3.465
- space-group type = No. 2
- raw formation energy (meV/atom) = -1144
- total magnetic moment (μB per cell) = 0.0
- crystal system = triclinic

a = 7.3849 Å, b = 7.9046 Å, c = 6.9787 Å
α = 60.41°, β = 58.28°, γ = 44.90°
Positions (direct):
Tb 0.5000 0.5000 0.5000
Ag 0.0000 0.0000 0.0000
Cl 0.1105 0.4737 0.7051
Cl 0.7277 0.0931 0.8245
Cl 0.6032 0.2124 0.2948
Cl 0.2723 0.9069 0.1755
Cl 0.8895 0.5263 0.2949
Cl 0.3968 0.7876 0.7052

---

No. 18
Crystalline TbAgCl at its relaxed geometry, computed with PBE-GGA.

Summary:
- E_tot (eV/atom) = -3.820
- space-group type = No. 38
- raw formation energy (meV/atom) = -711
- total magnetic moment (μB per cell) = 0.0
- crystal system = orthorhombic

a = 4.6975 Å, b = 4.7068 Å, c = 7.6658 Å
α = 90.00°, β = 90.00°, γ = 119.93°
Positions (direct):
Ag 0.4442 0.8884 0.0000
Ag 0.4442 0.8884 0.5000
Tb 0.7781 0.5561 0.7500
Tb 0.7781 0.5561 0.2500
Cl 0.1110 0.2221 0.2500
Cl 0.1110 0.2221 0.7500

---

No. 19
Crystalline Tb2AgCl at its relaxed geometry, computed with PBE-GGA.

Summary:
- E_tot (eV/atom) = -4.155
- space-group type = No. 160
- raw formation energy (meV/atom) = -665
- total magnetic moment (μB per cell) = 0.0
- crystal system = trigonal

a = 3.5383 Å, b = 3.5383 Å, c = 9.2466 Å
α = 78.97°, β = 78.97°, γ = 60.00°
Positions (direct):
Tb 0.0862 0.0862 0.7413
Tb 0.2471 0.2471 0.2586
Ag 0.6665 0.6665 0.0005
Cl 0.5001 0.5001 0.4996

---

No. 20
Crystalline Tb2Ag5Cl12 at its relaxed geometry, computed with PBE-GGA.

Summary:
- E_tot (eV/atom) = -3.574
- space-group type = No. 12
- raw formation energy (meV/atom) = -1170
- total magnetic moment (μB per cell) = 0.0
- crystal system = monoclinic

a = 7.6458 Å, b = 7.9810 Å, c = 10.0083 Å
α = 103.09°, β = 90.00°, γ = 118.62°
Positions (direct):
Tb 0.7509 0.0000 0.0000
Tb 0.2491 0.0000 0.0000
Ag 0.2861 0.5722 0.6169
Ag 0.2816 0.5632 0.3141
Ag 0.0000 0.0000 0.5000
Ag 0.7184 0.4368 0.6859
Ag 0.7139 0.4278 0.3831
Cl 0.9465 0.8930 0.1507
Cl 0.0760 0.6388 0.8340
Cl 0.5628 0.6388 0.8340
Cl 0.1125 0.7418 0.4762
Cl 0.6293 0.7418 0.4762
Cl 0.5519 0.1039 0.8467
Cl 0.4481 0.8961 0.1533
Cl 0.8875 0.2582 0.5238
Cl 0.3707 0.2582 0.5238
Cl 0.9240 0.3612 0.1660
Cl 0.4372 0.3612 0.1660
Cl 0.0535 0.1070 0.8493